# AcLaGaCo, relaxed, DFT PBE
data_AcLaGaCo
_symmetry_space_group_name_H-M 'P 1'
_symmetry_Int_Tables_number 1
_symmetry_space_group_name_Hall 'P 1'
_cell_length_a 4.145
_cell_length_b 4.145
_cell_length_c 7.652
_cell_angle_alpha 96.55
_cell_angle_beta 103.33
_cell_angle_gamma 111.32
loop_
_atom_site_label
_atom_site_type_symbol
_atom_site_fract_x
_atom_site_fract_y
_atom_site_fract_z
Co1 Co 0.870 0.241 0.111
La1 La 0.994 0.879 0.872
Ac1 Ac 0.316 0.077 0.393
Ga1 Ga 0.512 0.607 0.119
# Formation energy   -300 meV per atom
# Total moment   0.00 μB/cell
# Distance to the lowest polymorph of the same formula   0.00 eV per formula unit
# Volume   29.1 A^3/atom
# Space group   No. 8